Entry 1:
A plane-wave DFT calculation with GGA-PBE was carried out for a geometry-optimized VNi2Sn2 structure.

Results
Theoretical density, g/cm³: 7.8
Calculated formation energy, meV per atom: 177
Relative energy among the computed polymorphs, eV per atom: 0.1064

a b c (Å): 3.424 3.424 7.746
angles (deg): 77.23 77.23 90.00
Positions (direct):
Ni  0.750  0.250  0.500
Ni  0.250  0.750  0.500
Sn  0.386  0.386  0.228
Sn  0.614  0.614  0.772
V  0.000  0.000  0.000


Entry 2:
A plane-wave DFT calculation with GGA-PBE was carried out for a geometry-optimized Er3Mg2Zn2 structure.

Results
Theoretical density, g/cm³: 6.6
Calculated formation energy, meV per atom: -166

a b c (Å): 3.505 3.437 14.394
angles (deg): 90.00 83.01 90.00
Positions (direct):
Er  0.876  0.000  0.248
Er  0.000  0.000  0.000
Er  0.124  0.000  0.752
Mg  0.705  0.500  0.590
Mg  0.295  0.500  0.410
Zn  0.562  0.500  0.876
Zn  0.438  0.500  0.124


Entry 3:
A plane-wave DFT calculation with GGA-PBE was carried out for a geometry-optimized Mg2IrPt2 structure.

Results
Theoretical density, g/cm³: 12.0
Calculated formation energy, meV per atom: -384

a b c (Å): 6.701 6.701 3.885
angles (deg): 90.00 90.00 90.00
Positions (direct):
Mg  0.173  0.673  0.500
Mg  0.673  0.827  0.500
Mg  0.827  0.327  0.500
Mg  0.327  0.173  0.500
Ir  0.000  0.000  0.000
Ir  0.500  0.500  0.000
Pt  0.366  0.866  0.000
Pt  0.866  0.634  0.000
Pt  0.634  0.134  0.000
Pt  0.134  0.366  0.000


Entry 4:
A plane-wave DFT calculation with GGA-PBE was carried out for a geometry-optimized Pr2TmThSe5 structure.

Results
Theoretical density, g/cm³: 6.5
E_form (uncorrected), eV per atom: -1.2279

a b c (Å): 5.042 5.042 10.882
angles (deg): 90.00 90.00 90.00
Positions (direct):
Pr  0.500  0.500  0.293
Pr  0.500  0.500  0.707
Tm  0.000  0.000  0.500
Th  0.000  0.000  0.000
Se  0.000  0.500  0.500
Se  0.500  0.000  0.500
Se  0.000  0.000  0.750
Se  0.000  0.000  0.250
Se  0.500  0.500  0.000


Entry 5:
A plane-wave DFT calculation with GGA-PBE was carried out for a geometry-optimized Er3Cd3Cu2 structure.

Results
Theoretical density, g/cm³: 9.0
Calculated formation energy, meV per atom: -290

a b c (Å): 3.706 7.467 7.467
angles (deg): 120.00 90.00 90.00
Positions (direct):
Er  0.500  0.419  0.419
Er  0.500  0.581  0.000
Er  0.500  0.000  0.581
Cd  0.000  0.768  0.768
Cd  0.000  0.232  0.000
Cd  0.000  0.000  0.232
Cu  0.000  0.333  0.667
Cu  0.000  0.667  0.333